--- one ---
DFT (GGA-PBE) results for a geometry-optimized MgAs2WSe structure.

a b c (Å): 4.876 4.876 5.119
angles (deg): 90.00 90.00 90.00
Fractional positions:
Mg  0.500  0.500  0.500
As  0.000  0.500  0.000
As  0.500  0.000  0.000
Se  0.000  0.000  0.500
W  0.000  0.000  0.000

Computed properties:
**Space group**: P4/mmm (123)
**N(E_F)**: 4.31 states/eV/f.u.
**Total magnetic moment**: 0.00 μB per formula unit



--- two ---
DFT (GGA-PBE) results for a geometry-optimized MgAs2WSe structure.

a b c (Å): 4.778 5.506 4.778
angles (deg): 90.00 90.00 90.00
Fractional positions:
Mg  0.000  0.500  0.000
As  0.000  0.000  0.500
As  0.500  0.000  0.000
Se  0.500  0.500  0.500
W  0.000  0.000  0.000

Computed properties:
**Space group**: P4/mmm (123)
**N(E_F)**: 2.37 states/eV/f.u.
**Total magnetic moment**: 0.00 μB per formula unit



Sorted by energy, starting with the most stable: one, two.



--- one ---
DFT (GGA-PBE) results for a geometry-optimized MgSi2As structure.

a b c (Å): 3.013 3.013 7.632
angles (deg): 90.00 90.00 90.00
Fractional positions:
As  0.500  0.500  0.250
Mg  0.500  0.500  0.750
Si  0.000  0.000  0.006
Si  0.000  0.000  0.494

Computed properties:
**Space group**: P4/mmm (123)
**N(E_F)**: 2.31 states/eV/f.u.
**Total magnetic moment**: 0.00 μB per formula unit



--- two ---
DFT (GGA-PBE) results for a geometry-optimized MgSi2As structure.

a b c (Å): 4.663 4.663 4.663
angles (deg): 60.00 60.00 60.00
Fractional positions:
Mg  0.000  0.000  0.000
As  0.500  0.500  0.500
Si  0.250  0.250  0.250
Si  0.750  0.750  0.750

Computed properties:
**Space group**: Fm-3m (225)
**N(E_F)**: 2.02 states/eV/f.u.
**Total magnetic moment**: 0.00 μB per formula unit



--- three ---
DFT (GGA-PBE) results for a geometry-optimized MgSi2As structure.

a b c (Å): 5.080 5.080 4.505
angles (deg): 74.28 74.28 40.20
Fractional positions:
As  0.750  0.750  0.750
Mg  0.250  0.250  0.250
Si  0.013  0.013  0.934
Si  0.487  0.487  0.566

Computed properties:
**Space group**: C2/m (12)
**N(E_F)**: 0.38 states/eV/f.u.
**Total magnetic moment**: 0.00 μB per formula unit



Sorted by energy, starting with the most stable: three, one, two.



--- one ---
DFT (GGA-PBE) results for a geometry-optimized MgSi2As structure.

a b c (Å): 3.083 3.083 7.400
angles (deg): 90.00 90.00 89.99
Fractional positions:
As  0.000  0.000  0.496
Mg  0.500  0.500  0.763
Si  0.000  0.000  0.028
Si  0.500  0.500  0.213

Computed properties:
**Space group**: P4mm (99)
**N(E_F)**: 1.67 states/eV/f.u.
**Total magnetic moment**: 0.00 μB per formula unit



--- two ---
DFT (GGA-PBE) results for a geometry-optimized MgSi2As structure.

a b c (Å): 3.540 3.540 5.681
angles (deg): 90.00 90.00 90.04
Fractional positions:
As  0.500  0.500  0.250
Mg  0.500  0.500  0.750
Si  0.000  0.000  0.030
Si  0.000  0.000  0.470

Computed properties:
**Space group**: P4/mmm (123)
**N(E_F)**: 1.89 states/eV/f.u.
**Total magnetic moment**: 0.00 μB per formula unit



Sorted by energy, starting with the most stable: one, two.



--- one ---
DFT (GGA-PBE) results for a geometry-optimized MgSi2As structure.

a b c (Å): 5.156 5.156 5.156
angles (deg): 133.95 133.95 67.17
Fractional positions:
As  0.500  0.500  0.000
Mg  0.750  0.250  0.500
Si  0.000  0.000  0.000
Si  0.250  0.750  0.500

Computed properties:
**Space group**: I-4m2 (119)
**N(E_F)**: 1.53 states/eV/f.u.
**Total magnetic moment**: 0.00 μB per formula unit



--- two ---
DFT (GGA-PBE) results for a geometry-optimized MgSi2As structure.

a b c (Å): 3.894 3.680 4.898
angles (deg): 90.00 90.00 90.00
Fractional positions:
As  0.500  0.000  0.500
Mg  0.000  0.500  0.500
Si  0.000  0.000  0.000
Si  0.500  0.500  0.000

Computed properties:
**Space group**: Pmmm (47)
**N(E_F)**: 1.02 states/eV/f.u.
**Total magnetic moment**: 0.00 μB per formula unit



Sorted by energy, starting with the most stable: two, one.



--- one ---
DFT (GGA-PBE) results for a geometry-optimized MgSi2As structure.

a b c (Å): 9.433 9.433 9.433
angles (deg): 17.94 17.94 17.94
Fractional positions:
As  0.250  0.250  0.250
Mg  0.750  0.750  0.750
Si  0.999  0.999  0.999
Si  0.501  0.501  0.501

Computed properties:
**Space group**: R-3m (166)
**N(E_F)**: 1.66 states/eV/f.u.
**Total magnetic moment**: 0.00 μB per formula unit



--- two ---
DFT (GGA-PBE) results for a geometry-optimized MgSi2As structure.

a b c (Å): 4.637 4.637 4.637
angles (deg): 60.00 60.00 60.00
Fractional positions:
As  0.500  0.500  0.500
Mg  0.250  0.250  0.250
Si  0.000  0.000  0.000
Si  0.750  0.750  0.750

Computed properties:
**Space group**: F-43m (216)
**N(E_F)**: 2.16 states/eV/f.u.
**Total magnetic moment**: 0.00 μB per formula unit



Sorted by energy, starting with the most stable: two, one.



--- one ---
DFT (GGA-PBE) results for a geometry-optimized Mg2SiAs structure.

a b c (Å): 5.092 2.926 5.091
angles (deg): 89.99 90.00 90.00
Fractional positions:
As  0.500  0.625  0.874
Mg  0.000  0.125  0.876
Mg  0.500  0.125  0.375
Si  0.000  0.625  0.375

Computed properties:
**Space group**: Pmm2 (25)
**N(E_F)**: 1.16 states/eV/f.u.
**Total magnetic moment**: 0.00 μB per formula unit



--- two ---
DFT (GGA-PBE) results for a geometry-optimized Mg2SiAs structure.

a b c (Å): 3.905 2.985 6.872
angles (deg): 69.08 90.00 90.00
Fractional positions:
As  0.500  0.750  0.750
Mg  0.000  0.986  0.005
Mg  0.000  0.514  0.495
Si  0.500  0.250  0.250

Computed properties:
**Space group**: P2/m (10)
**N(E_F)**: 1.28 states/eV/f.u.
**Total magnetic moment**: 0.00 μB per formula unit



--- three ---
DFT (GGA-PBE) results for a geometry-optimized Mg2SiAs structure.

a b c (Å): 5.826 5.826 4.308
angles (deg): 72.33 72.33 34.57
Fractional positions:
As  0.274  0.274  0.093
Mg  0.014  0.014  0.126
Mg  0.735  0.735  0.628
Si  0.477  0.477  0.653

Computed properties:
**Space group**: Cm (8)
**N(E_F)**: 0.53 states/eV/f.u.
**Total magnetic moment**: 0.00 μB per formula unit



Sorted by energy, starting with the most stable: three, two, one.